The following is a DFT calculation (PBE) of a relaxed structure of TaIr2Pt.

Cell: 3.403 3.403 5.517 Å, 90.00 90.00 90.00°
Element x y z (fractional)
Ta 0.000 0.000 0.000
Ir 0.000 0.000 0.472
Ir 0.500 0.500 0.253
Pt 0.500 0.500 0.738

Summary:
SG	No. 99
calculated total energy	-36.68	eV per cell
ΔE_f	-25.7	kJ per mole of atoms
relative energy among the computed polymorphs	1.53	eV per formula unit


The following is a DFT calculation (PBE) of a relaxed structure of BaZr2Cu.

Cell: 4.423 4.423 5.126 Å, 90.00 90.00 90.00°
Element x y z (fractional)
Ba 0.000 0.000 0.000
Zr 0.000 0.500 0.500
Zr 0.500 0.000 0.500
Cu 0.500 0.500 0.000

Summary:
SG	No. 123
calculated total energy	-20.55	eV per cell
ΔE_f	62.0	kJ per mole of atoms
relative energy among the computed polymorphs	2.00	eV per formula unit


The following is a DFT calculation (PBE) of a relaxed structure of Y2GeS2.

Cell: 7.284 7.284 7.284 Å, 143.66 143.66 52.33°
Element x y z (fractional)
Y 0.143 0.143 0.000
Y 0.857 0.857 0.000
Ge 0.500 0.500 0.000
S 0.250 0.750 0.500
S 0.750 0.250 0.500

Summary:
SG	No. 139
calculated total energy	-30.95	eV per cell
relative energy among the computed polymorphs	1.10	eV per formula unit
uncorrected formation energy	-497	kJ/mol of formula units


The following is a DFT calculation (PBE) of a relaxed structure of TlZn2Os.

Cell: 5.193 5.193 5.193 Å, 140.14 132.19 63.95°
Element x y z (fractional)
Tl 0.000 0.000 0.000
Zn 0.260 0.760 0.500
Zn 0.504 0.504 0.000
Os 0.738 0.238 0.500

Summary:
SG	No. 44
calculated total energy	-14.34	eV per cell
ΔE_f	43.5	kJ per mole of atoms
relative energy among the computed polymorphs	0.32	eV per formula unit


The following is a DFT calculation (PBE) of a relaxed structure of SrLiCuHg.

Cell: 5.190 5.190 5.190 Å, 60.00 60.00 60.00°
Element x y z (fractional)
Sr 0.000 0.000 0.000
Li 0.500 0.500 0.500
Cu 0.750 0.750 0.750
Hg 0.250 0.250 0.250

Summary:
SG	No. 216
calculated total energy	-8.42	eV per cell
ΔE_f	-10.2	kJ per mole of atoms


The following is a DFT calculation (PBE) of a relaxed structure of NiMoBr.

Cell: 3.035 3.035 6.185 Å, 90.00 90.00 120.00°
Element x y z (fractional)
Ni 0.000 0.000 0.000
Mo 0.667 0.333 0.700
Br 0.333 0.667 0.372

Summary:
SG	No. 156
calculated total energy	-16.88	eV per cell
relative energy among the computed polymorphs	0.00	eV per formula unit
uncorrected formation energy	136	kJ/mol of formula units


The following is a DFT calculation (PBE) of a relaxed structure of BaTa.

Cell: 12.891 12.891 4.333 Å, 90.00 90.00 90.00°
Element x y z (fractional)
Ba 0.085 0.365 0.000
Ba 0.219 0.658 0.500
Ba 0.342 0.219 0.500
Ba 0.365 0.915 0.000
Ba 0.635 0.085 0.000
Ba 0.658 0.781 0.500
Ba 0.781 0.342 0.500
Ba 0.915 0.635 0.000
Ta 0.037 0.144 0.500
Ta 0.097 0.838 0.000
Ta 0.144 0.963 0.500
Ta 0.162 0.097 0.000
Ta 0.838 0.903 0.000
Ta 0.856 0.037 0.500
Ta 0.903 0.162 0.000
Ta 0.963 0.856 0.500

Summary:
SG	No. 83
calculated total energy	-100.00	eV per cell
ΔE_f	61.5	kJ per mole of atoms
relative energy among the computed polymorphs	0.24	eV per formula unit


The following is a DFT calculation (PBE) of a relaxed structure of Hg2PtSe.

Cell: 5.370 5.370 5.370 Å, 133.45 133.45 67.94°
Element x y z (fractional)
Hg 0.000 0.000 0.000
Hg 0.750 0.250 0.500
Pt 0.250 0.750 0.500
Se 0.500 0.500 0.000

Summary:
SG	No. 119
calculated total energy	-9.08	eV per cell
relative energy among the computed polymorphs	1.25	eV per formula unit
uncorrected formation energy	101	kJ/mol of formula units


The following is a DFT calculation (PBE) of a relaxed structure of CoTcAg2.

Cell: 5.458 5.458 5.458 Å, 150.80 128.31 60.47°
Element x y z (fractional)
Co 0.000 0.000 0.000
Tc 0.798 0.298 0.500
Ag 0.246 0.746 0.500
Ag 0.522 0.522 0.000

Summary:
SG	No. 44
calculated total energy	-20.85	eV per cell
ΔE_f	56.0	kJ per mole of atoms
relative energy among the computed polymorphs	1.27	eV per formula unit


The following is a DFT calculation (PBE) of a relaxed structure of PmErNiPt.

Cell: 4.921 4.921 4.921 Å, 60.00 60.00 60.00°
Element x y z (fractional)
Pm 0.000 0.000 0.000
Er 0.500 0.500 0.500
Ni 0.250 0.250 0.250
Pt 0.750 0.750 0.750

Summary:
SG	No. 216
calculated total energy	-24.12	eV per cell
ΔE_f	-72.0	kJ per mole of atoms
relative energy among the computed polymorphs	0.32	eV per formula unit


The following is a DFT calculation (PBE) of a relaxed structure of Al2SbPb.

Cell: 3.743 3.707 7.018 Å, 90.00 90.07 90.00°
Element x y z (fractional)
Al 0.000 0.000 0.207
Al 0.000 0.000 0.793
Sb 0.500 0.500 0.000
Pb 0.500 0.500 0.500

Summary:
SG	No. 10
calculated total energy	-14.55	eV per cell
relative energy among the computed polymorphs	0.26	eV per formula unit
uncorrected formation energy	74	kJ/mol of formula units


The following is a DFT calculation (PBE) of a relaxed structure of FeRe2Ru.

Cell: 2.652 2.652 8.733 Å, 90.00 90.00 111.94°
Element x y z (fractional)
Fe 0.000 0.000 0.000
Re 0.500 0.500 0.244
Re 0.500 0.500 0.756
Ru 0.000 0.000 0.500

Summary:
SG	No. 65
calculated total energy	-41.42	eV per cell
ΔE_f	29.2	kJ per mole of atoms
relative energy among the computed polymorphs	1.27	eV per formula unit


The following is a DFT calculation (PBE) of a relaxed structure of AsOs3Ru.

Cell: 4.466 4.466 4.466 Å, 90.00 90.00 90.00°
Element x y z (fractional)
As 0.000 0.000 0.000
Os 0.000 0.000 0.500
Os 0.000 0.500 0.000
Os 0.500 0.000 0.000
Ru 0.500 0.500 0.500

Summary:
SG	No. 221
calculated total energy	-37.98	eV per cell
ΔE_f	185.9	kJ per mole of atoms
relative energy among the computed polymorphs	0.00	eV per formula unit


The following is a DFT calculation (PBE) of a relaxed structure of PuTi2V.

Cell: 4.624 4.624 4.624 Å, 60.00 60.00 60.00°
Element x y z (fractional)
Pu 0.000 0.000 0.000
Ti 0.250 0.250 0.250
Ti 0.750 0.750 0.750
V 0.500 0.500 0.500

Summary:
SG	No. 225
calculated total energy	-38.56	eV per cell
ΔE_f	16.4	kJ per mole of atoms
relative energy among the computed polymorphs	0.12	eV per formula unit


The following is a DFT calculation (PBE) of a relaxed structure of Pa2InS6.

Cell: 6.659 6.659 8.450 Å, 93.23 93.23 33.78°
Element x y z (fractional)
Pa 0.239 0.239 0.231
Pa 0.761 0.761 0.769
In 0.500 0.500 0.500
S 0.155 0.155 0.920
S 0.158 0.158 0.551
S 0.407 0.407 0.771
S 0.593 0.593 0.229
S 0.842 0.842 0.449
S 0.845 0.845 0.080

Summary:
SG	No. 12
calculated total energy	-57.93	eV per cell
relative energy among the computed polymorphs	0.00	eV per formula unit
uncorrected formation energy	-1103	kJ/mol of formula units


The following is a DFT calculation (PBE) of a relaxed structure of SrP2Pd.

Cell: 8.881 8.881 8.881 Å, 149.39 149.39 43.84°
Element x y z (fractional)
Sr 0.000 0.000 0.000
Sr 0.750 0.250 0.500
P 0.289 0.625 0.164
P 0.375 0.539 0.664
P 0.461 0.125 0.836
P 0.875 0.711 0.336
Pd 0.250 0.750 0.500
Pd 0.500 0.500 0.000

Summary:
SG	No. 122
calculated total energy	-40.15	eV per cell
ΔE_f	-57.4	kJ per mole of atoms


The following is a DFT calculation (PBE) of a relaxed structure of Ta2ZnHg.

Cell: 4.653 4.653 4.653 Å, 60.00 60.00 60.00°
Element x y z (fractional)
Ta 0.250 0.250 0.250
Ta 0.750 0.750 0.750
Zn 0.000 0.000 0.000
Hg 0.500 0.500 0.500

Summary:
SG	No. 225
calculated total energy	-23.32	eV per cell
ΔE_f	47.4	kJ per mole of atoms
relative energy among the computed polymorphs	1.43	eV per formula unit


The following is a DFT calculation (PBE) of a relaxed structure of NaUGa2Cl8.

Cell: 6.842 8.602 6.868 Å, 90.00 94.68 90.00°
Element x y z (fractional)
Na 0.000 0.000 0.000
U 0.000 0.500 0.000
Ga 0.500 0.220 0.500
Ga 0.500 0.780 0.500
Cl 0.208 0.500 0.318
Cl 0.214 0.286 0.870
Cl 0.214 0.714 0.870
Cl 0.279 0.000 0.326
Cl 0.721 0.000 0.674
Cl 0.786 0.286 0.130
Cl 0.786 0.714 0.130
Cl 0.792 0.500 0.682

Summary:
SG	No. 10
calculated total energy	-49.68	eV per cell
uncorrected formation energy	-1568	kJ/mol of formula units


The following is a DFT calculation (PBE) of a relaxed structure of Y4Ir2Ru.

Cell: 8.324 8.324 8.324 Å, 33.80 33.80 33.80°
Element x y z (fractional)
Y 0.124 0.124 0.124
Y 0.375 0.375 0.375
Y 0.625 0.625 0.625
Y 0.876 0.876 0.876
Ir 0.250 0.250 0.250
Ir 0.750 0.750 0.750
Ru 0.500 0.500 0.500

Summary:
SG	No. 166
calculated total energy	-57.29	eV per cell
ΔE_f	-61.2	kJ per mole of atoms


The following is a DFT calculation (PBE) of a relaxed structure of TlCd3Se.

Cell: 5.487 5.487 5.487 Å, 90.00 90.00 90.00°
Element x y z (fractional)
Tl 0.000 0.000 0.000
Cd 0.000 0.000 0.500
Cd 0.000 0.500 0.000
Cd 0.500 0.000 0.000
Se 0.500 0.500 0.500

Summary:
SG	No. 221
calculated total energy	-6.38	eV per cell
relative energy among the computed polymorphs	0.97	eV per formula unit
uncorrected formation energy	214	kJ/mol of formula units